The following is a PBE calculation of TiMnSi after structural relaxation, from Alexandria via LeMat-Bulk.

Output
raw formation energy	-513	meV/atom
calculated volume	13.5	Å³ per atom

a b c (Å): 4.8493 4.8493 6.1496
angles (deg): 124.86 124.86 45.79
Atoms (fractional coordinates):
Ti (0.0514, 0.0514, 0.3033)
Ti (0.9486, 0.9486, 0.6967)
Mn (0.3528, 0.3528, 0.9309)
Mn (0.6472, 0.6472, 0.0691)
Si (0.3344, 0.3344, 0.2950)
Si (0.6656, 0.6656, 0.7050)